(1)
# CsGaSe3 (PBE, relaxed)
# calculated total energy = -10.04 eV for the cell shown
# volume = 42.17 Å³/atom
# formation energy (no corrections) = 0.859 eV/atom
data_CsGaSe3
_space_group_name_H-M_alt 'P m -3 m'
_space_group_IT_number 221
_space_group_name_Hall '-P 4 2 3'
_cell_length_a 5.952
_cell_length_b 5.952
_cell_length_c 5.952
_cell_angle_alpha 90.00
_cell_angle_beta 90.00
_cell_angle_gamma 90.00
loop_
_atom_site_label
_atom_site_type_symbol
_atom_site_fract_x
_atom_site_fract_y
_atom_site_fract_z
_atom_site_occupancy
Cs1 Cs 0.000 0.000 0.000 1
Ga1 Ga 0.500 0.500 0.500 1
Se1 Se 0.000 0.000 0.500 1


(2)
# ZnSb (PBE, relaxed)
# calculated total energy = -30.80 eV for the cell shown
# volume = 23.12 Å³/atom
# formation energy (no corrections) = 0.132 eV/atom
data_ZnSb
_space_group_name_H-M_alt 'C 1 m 1'
_space_group_IT_number 8
_cell_length_a 11.989
_cell_length_b 3.922
_cell_length_c 7.064
_cell_angle_alpha 90.00
_cell_angle_beta 123.37
_cell_angle_gamma 90.00
loop_
_space_group_symop_operation_xyz
'x,y,z'
'x,-y,z'
'x+1/2,y+1/2,z'
'x+1/2,-y+1/2,z'
loop_
_atom_site_label
_atom_site_type_symbol
_atom_site_fract_x
_atom_site_fract_y
_atom_site_fract_z
_atom_site_occupancy
Zn1 Zn 0.000 0.000 0.000 1
Zn2 Zn 0.067 0.500 0.636 1
Zn3 Zn 0.156 0.500 0.329 1
Sb1 Sb 0.218 0.000 0.964 1
Sb2 Sb 0.333 0.000 0.664 1
Sb3 Sb 0.424 0.500 0.303 1


(3)
# Sc2UGa2Ru5 (PBE, relaxed)
# calculated total energy = -162.17 eV for the cell shown
# volume = 16.58 Å³/atom
# ΔH_f (0 K) = -0.470 eV/atom
data_Sc2UGa2Ru5
_space_group_name_H-M_alt 'P 4/m b m'
_space_group_IT_number 127
_space_group_name_Hall '-P 4 2ab'
_cell_length_a 9.682
_cell_length_b 9.682
_cell_length_c 3.537
_cell_angle_alpha 90.00
_cell_angle_beta 90.00
_cell_angle_gamma 90.00
loop_
_atom_site_label
_atom_site_type_symbol
_atom_site_fract_x
_atom_site_fract_y
_atom_site_fract_z
_atom_site_occupancy
Sc1 Sc 0.166 0.334 0.000 1
U1 U 0.000 0.000 0.000 1
Ga1 Ga 0.129 0.629 0.000 1
Ru1 Ru 0.000 0.500 0.500 1
Ru2 Ru 0.073 0.802 0.500 1


(4)
# CeGdAg (PBE, relaxed)
# calculated total energy = -46.11 eV for the cell shown
# volume = 27.66 Å³/atom
# ΔH_f (0 K) = -0.063 eV/atom
data_CeGdAg
_space_group_name_H-M_alt 'I 4 m m'
_space_group_IT_number 107
_space_group_name_Hall 'I 4 -2'
_cell_length_a 3.623
_cell_length_b 3.623
_cell_length_c 12.646
_cell_angle_alpha 90.00
_cell_angle_beta 90.00
_cell_angle_gamma 90.00
loop_
_atom_site_label
_atom_site_type_symbol
_atom_site_fract_x
_atom_site_fract_y
_atom_site_fract_z
_atom_site_occupancy
Ce1 Ce 0.000 0.000 0.000 1
Gd1 Gd 0.000 0.000 0.301 1
Ag1 Ag 0.000 0.000 0.657 1